(1)
# Y8HC3S3

A geometry-optimized Y8HC3S3 structure (PBE, the Alexandria database).

The space group is R-3m (No. 166, hexagonal axes) and the conventional cell measures 7.4225, 7.4225 and 18.6655 Å, with angles of 90.00, 90.00 and 120.00 degrees. The distinct sites, in fractional coordinates, are Y at (0.0000, 0.0000, 0.2384), Y at (0.0202, 0.5101, 0.7583), H at (0.0000, 0.0000, 0.5000), C at (0.0000, 0.5000, 0.5000) and S at (0.0000, 0.5000, 0.0000).

The value obtained for the size of the total moment is 0.00 μB/f.u. Its density of states at the Fermi level is 25.05 states/eV/cell. Its raw total energy is -7.392 eV per atom.

(2)
# NaPrY4O8

A geometry-optimized NaPrY4O8 structure (PBE, the Alexandria database).

The space group is R3m (No. 160, hexagonal axes) and the conventional cell measures 6.8672, 6.8672 and 17.1695 Å, with angles of 90.00, 90.00 and 120.00 degrees. The distinct sites, in fractional coordinates, are Na at (0.0000, 0.0000, 0.0000), Pr at (0.0000, 0.0000, 0.3751), Y at (0.0000, 0.0000, 0.7527), Y at (0.0080, 0.5040, 0.8781), O at (0.0000, 0.0000, 0.1445), O at (0.0000, 0.0000, 0.6203), O at (0.0133, 0.5067, 0.1327) and O at (0.1865, 0.3730, 0.9513).

The value obtained for the formation energy without anion corrections is -3.18 eV/atom. The value obtained for the size of the total moment is 0.00 μB/f.u. Its density of states at the Fermi level is 0.00 states/eV/cell.